Record 1
# ZrTa2Os2

Crystalline ZrTa2Os2 at its relaxed geometry (PBE, the Open Quantum Materials Database).

Cell and atoms, written as POSCAR:
```
ZrTa2Os2
1.0
-2.0805 2.0805 5.7103
2.0805 -2.0805 5.7103
2.0805 2.0805 -5.7103
Os Ta Zr
2 2 1
Direct
0.7500 0.2500 0.5000
0.2500 0.7500 0.5000
0.3793 0.3793 0.0000
0.6207 0.6207 0.0000
0.0000 0.0000 0.0000
```

Record 2
# TbOs2

Crystalline TbOs2 at its relaxed geometry (PBE, the Open Quantum Materials Database).

Cell and atoms, written as POSCAR:
```
TbOs2
1.0
5.3148 0.0000 0.0000
-2.6574 4.6028 0.0000
0.0000 0.0000 8.8785
Os Tb
8 4
Direct
0.0000 0.0000 0.0000
0.1713 0.3426 0.2500
0.1713 0.8287 0.2500
0.6574 0.8287 0.2500
0.0000 0.0000 0.5000
0.3426 0.1713 0.7500
0.8287 0.1713 0.7500
0.8287 0.6574 0.7500
0.6667 0.3333 0.0654
0.6667 0.3333 0.4346
0.3333 0.6667 0.5654
0.3333 0.6667 0.9346
```

Record 3
# Tb3Os

Crystalline Tb3Os at its relaxed geometry (PBE, the Open Quantum Materials Database).

Cell and atoms, written as POSCAR:
```
Tb3Os
1.0
7.4044 0.0000 0.0000
0.0000 9.1282 0.0000
0.0000 0.0000 6.3438
Os Tb
4 12
Direct
0.1169 0.2500 0.0418
0.6169 0.2500 0.4582
0.3831 0.7500 0.5418
0.8831 0.7500 0.9582
0.5394 0.7500 0.1314
0.8248 0.0634 0.1669
0.8248 0.4366 0.1669
0.3248 0.0634 0.3331
0.3248 0.4366 0.3331
0.0394 0.7500 0.3686
0.9606 0.2500 0.6314
0.6752 0.5634 0.6669
0.6752 0.9366 0.6669
0.1752 0.5634 0.8331
0.1752 0.9366 0.8331
0.4606 0.2500 0.8686
```

| no. | DFT formation energy (eV per atom) |
| --- | --- |
| 1 | 0.2555 |
| 2 | -0.2928 |
| 3 | -0.2398 |